## PmV2TcO8 (GGA+U)

Data for a geometry-optimized PmV2TcO8 structure.

Cell and atoms, written as POSCAR:
```
PmV2TcO8
1.0
-3.5298 -0.3847 -3.8715
1.4771 -3.3453 -3.7714
-3.1108 -5.1473 3.3622
O Pm V Tc
8 1 2 1
direct
0.7326 0.7326 0.4463
0.2674 0.2674 0.5537
0.2119 0.7341 0.7821
0.7881 0.2659 0.2179
0.2242 0.2242 0.9523
0.2659 0.7881 0.2179
0.7758 0.7758 0.0477
0.7341 0.2119 0.7821
0.0000 0.0000 0.5000
0.6413 0.6413 0.2272
0.3587 0.3587 0.7728
0.0000 0.0000 0.0000
```

Properties
* VASP energy: -7.8682 eV per atom